[1]
The following is a PBE-GGA calculation of Nd2ErU2Ru5 after structural relaxation, from Alexandria via LeMat-Bulk.

The structure in CIF format:
```
data_Nd2ErU2Ru5
_chemical_formula_sum 'Nd4 Er2 U4 Ru10'
_cell_length_a 10.843
_cell_length_b 10.843
_cell_length_c 3.534
_cell_angle_alpha 90.00
_cell_angle_beta 90.00
_cell_angle_gamma 90.00
_symmetry_space_group_name_H-M 'P 4/m b m'
_symmetry_Int_Tables_number 127
_symmetry_space_group_name_Hall '-P 4 2ab'
loop_
_atom_site_label
_atom_site_type_symbol
_atom_site_fract_x
_atom_site_fract_y
_atom_site_fract_z
Nd1 Nd 0.175 0.325 0.000
Er1 Er 0.000 0.000 0.000
U1 U 0.137 0.637 0.000
Ru1 Ru 0.000 0.500 0.500
Ru2 Ru 0.050 0.785 0.500
```

total energy: -170.74 eV per cell

***

[2]
The following is a PBE-GGA calculation of NdErZnRu after structural relaxation, from Alexandria via LeMat-Bulk.

The structure in CIF format:
```
data_NdErZnRu
_chemical_formula_sum 'Nd4 Er4 Zn4 Ru4'
_cell_length_a 7.043
_cell_length_b 7.043
_cell_length_c 7.043
_cell_angle_alpha 90.00
_cell_angle_beta 90.00
_cell_angle_gamma 90.00
_symmetry_space_group_name_H-M 'F -4 3 m'
_symmetry_Int_Tables_number 216
_symmetry_space_group_name_Hall 'F -4 2 3'
loop_
_atom_site_label
_atom_site_type_symbol
_atom_site_fract_x
_atom_site_fract_y
_atom_site_fract_z
Nd1 Nd 0.000 0.000 0.000
Er1 Er 0.000 0.000 0.500
Zn1 Zn 0.250 0.250 0.750
Ru1 Ru 0.250 0.250 0.250
```

total energy: -84.15 eV per cell
offset from the most stable computed form: 0.0 meV/atom